A relaxed structure of ZrVTcIr, computed with GGA-PBE.

Computed properties:
Calculated density in g cm⁻³: 11.24
Energy of formation from the pure elements in meV/atom: -401
Fermi-level density of states in states/eV/atom: 0.8436

Cell and atoms, written as CIF:
```
data_ZrVTcIr
_chemical_formula_sum 'Zr4 V4 Tc4 Ir4'
_cell_length_a 6.346
_cell_length_b 6.346
_cell_length_c 6.346
_cell_angle_alpha 90.00
_cell_angle_beta 90.00
_cell_angle_gamma 90.00
_symmetry_space_group_name_H-M 'F -4 3 m'
_symmetry_Int_Tables_number 216
_symmetry_space_group_name_Hall 'F -4 2 3'
loop_
_atom_site_label
_atom_site_fract_x
_atom_site_fract_y
_atom_site_fract_z
_atom_site_occupancy
Zr1 0.000 0.000 0.000 1
V1 0.000 0.000 0.500 1
Tc1 0.250 0.250 0.250 1
Ir1 0.250 0.250 0.750 1
```

=====

A relaxed structure of Sc8AlS4, computed with GGA-PBE.

Computed properties:
Calculated density in g cm⁻³: 3.24
Uncorrected formation energy in kJ/mol of atoms: -112.8
Fermi-level density of states in states/eV/atom: 0.5518

Cell and atoms, written as CIF:
```
data_Sc8AlS4
_chemical_formula_sum 'Sc16 Al2 S8'
_cell_length_a 17.129
_cell_length_b 3.598
_cell_length_c 12.111
_cell_angle_alpha 90.00
_cell_angle_beta 134.96
_cell_angle_gamma 90.00
_symmetry_space_group_name_H-M 'C 1 2/m 1'
_symmetry_Int_Tables_number 12
loop_
_symmetry_equiv_pos_as_xyz
'x,y,z'
'-x,-y,-z'
'-x,y,-z'
'x,-y,z'
'x+1/2,y+1/2,z'
'-x+1/2,-y+1/2,-z'
'-x+1/2,y+1/2,-z'
'x+1/2,-y+1/2,z'
loop_
_atom_site_label
_atom_site_fract_x
_atom_site_fract_y
_atom_site_fract_z
_atom_site_occupancy
Sc1 0.047 0.000 0.204 1
Sc2 0.125 0.500 0.788 1
Sc3 0.155 0.500 0.108 1
Sc4 0.163 0.500 0.538 1
Al1 0.000 0.000 0.500 1
S1 0.156 0.000 0.966 1
S2 0.191 0.500 0.347 1
```

=====

A relaxed structure of Cs2NaSr, computed with GGA-PBE.

Computed properties:
Calculated density in g cm⁻³: 2.17
Energy of formation from the pure elements in meV/atom: 142
Fermi-level density of states in states/eV/atom: 1.1051
Relative energy among the computed polymorphs in eV/f.u.: 0.052

Cell and atoms, written as CIF:
```
data_Cs2NaSr
_chemical_formula_sum 'Cs6 Na3 Sr3'
_cell_length_a 4.6865
_cell_length_b 4.6865
_cell_length_c 45.4501
_cell_angle_alpha 90.00
_cell_angle_beta 90.00
_cell_angle_gamma 120.00
_symmetry_space_group_name_H-M 'R 3 m'
_symmetry_Int_Tables_number 160
_symmetry_space_group_name_Hall 'R 3 -2"'
loop_
_atom_site_label
_atom_site_fract_x
_atom_site_fract_y
_atom_site_fract_z
_atom_site_occupancy
Cs1 0.0000 0.0000 0.0000 1
Cs2 0.0000 0.0000 0.1778 1
Na1 0.0000 0.0000 0.5887 1
Sr1 0.0000 0.0000 0.4224 1
```

=====

A relaxed structure of NaScZnF6, computed with GGA-PBE.

Computed properties:
Calculated density in g cm⁻³: 3.25
Uncorrected formation energy in kJ/mol of atoms: -303.4
Fermi-level density of states in states/eV/atom: 0.0000

Cell and atoms, written as CIF:
```
data_NaScZnF6
_chemical_formula_sum 'Na2 Sc2 Zn2 F12'
_cell_length_a 5.4569
_cell_length_b 5.4569
_cell_length_c 9.7967
_cell_angle_alpha 90.00
_cell_angle_beta 90.00
_cell_angle_gamma 120.00
_symmetry_space_group_name_H-M 'P -3 1 c'
_symmetry_Int_Tables_number 163
_symmetry_space_group_name_Hall '-P 3 2c'
loop_
_atom_site_label
_atom_site_fract_x
_atom_site_fract_y
_atom_site_fract_z
_atom_site_occupancy
Na1 0.0000 0.0000 0.0000 1
Sc1 0.3333 0.6667 0.2500 1
Zn1 0.3333 0.6667 0.7500 1
F1 0.0040 0.3632 0.1391 1
```

=====

A relaxed structure of CsCu4Ni2, computed with GGA-PBE.

Computed properties:
Calculated density in g cm⁻³: 4.90
Energy of formation from the pure elements in meV/atom: 1533
Fermi-level density of states in states/eV/atom: 1.3721

Cell and atoms, written as CIF:
```
data_CsCu4Ni2
_chemical_formula_sum 'Cs2 Cu8 Ni4'
_cell_length_a 5.053
_cell_length_b 5.053
_cell_length_c 13.389
_cell_angle_alpha 90.00
_cell_angle_beta 90.00
_cell_angle_gamma 90.00
_symmetry_space_group_name_H-M 'I 4/m m m'
_symmetry_Int_Tables_number 139
_symmetry_space_group_name_Hall '-I 4 2'
loop_
_atom_site_label
_atom_site_fract_x
_atom_site_fract_y
_atom_site_fract_z
_atom_site_occupancy
Cs1 0.000 0.000 0.000 1
Cu1 0.000 0.000 0.246 1
Cu2 0.000 0.500 0.000 1
Ni1 0.000 0.000 0.418 1
```

=====

A relaxed structure of CePr4Th3S8, computed with GGA-PBE.

Computed properties:
Calculated density in g cm⁻³: 7.22
Uncorrected formation energy in kJ/mol of atoms: -188.5
Fermi-level density of states in states/eV/atom: 0.6225

Cell and atoms, written as CIF:
```
data_CePr4Th3S8
_chemical_formula_sum 'Ce3 Pr12 Th9 S24'
_cell_length_a 8.1046
_cell_length_b 8.1046
_cell_length_c 20.0961
_cell_angle_alpha 90.00
_cell_angle_beta 90.00
_cell_angle_gamma 120.00
_symmetry_space_group_name_H-M 'R -3 m'
_symmetry_Int_Tables_number 166
_symmetry_space_group_name_Hall '-R 3 2"'
loop_
_atom_site_label
_atom_site_fract_x
_atom_site_fract_y
_atom_site_fract_z
_atom_site_occupancy
Ce1 0.0000 0.0000 0.0000 1
Pr1 0.0000 0.0000 0.5000 1
Pr2 0.0000 0.5000 0.5000 1
Th1 0.0000 0.5000 0.0000 1
S1 0.0000 0.0000 0.2510 1
S2 0.0008 0.5004 0.7485 1
```

=====

A relaxed structure of CaCo2BiBr, computed with GGA-PBE.

Computed properties:
Calculated density in g cm⁻³: 5.04
Uncorrected formation energy in kJ/mol of atoms: 137.9
Fermi-level density of states in states/eV/atom: 1.4905

Cell and atoms, written as CIF:
```
data_CaCo2BiBr
_chemical_formula_sum 'Ca1 Co2 Bi1 Br1'
_cell_length_a 4.899
_cell_length_b 4.899
_cell_length_c 6.131
_cell_angle_alpha 90.00
_cell_angle_beta 90.00
_cell_angle_gamma 90.00
_symmetry_space_group_name_H-M 'P 4/m m m'
_symmetry_Int_Tables_number 123
_symmetry_space_group_name_Hall '-P 4 2'
loop_
_atom_site_label
_atom_site_fract_x
_atom_site_fract_y
_atom_site_fract_z
_atom_site_occupancy
Ca1 0.000 0.000 0.000 1
Co1 0.000 0.500 0.000 1
Bi1 0.000 0.000 0.500 1
Br1 0.500 0.500 0.500 1
```

=====

A relaxed structure of HgPPt2, computed with GGA-PBE.

Computed properties:
Calculated density in g cm⁻³: 15.50
Energy of formation from the pure elements in meV/atom: 6
Fermi-level density of states in states/eV/atom: 0.6135
Relative energy among the computed polymorphs in eV/f.u.: 0.522

Cell and atoms, written as CIF:
```
data_HgPPt2
_chemical_formula_sum 'Hg1 P1 Pt2'
_cell_length_a 3.082
_cell_length_b 3.082
_cell_length_c 7.011
_cell_angle_alpha 90.00
_cell_angle_beta 90.00
_cell_angle_gamma 90.00
_symmetry_space_group_name_H-M 'P 4/m m m'
_symmetry_Int_Tables_number 123
_symmetry_space_group_name_Hall '-P 4 2'
loop_
_atom_site_label
_atom_site_fract_x
_atom_site_fract_y
_atom_site_fract_z
_atom_site_occupancy
Hg1 0.000 0.000 0.000 1
P1 0.000 0.000 0.500 1
Pt1 0.500 0.500 0.296 1
```

=====

A relaxed structure of Zn3Ru2, computed with GGA-PBE.

Computed properties:
Calculated density in g cm⁻³: 9.44
Energy of formation from the pure elements in meV/atom: 87
Fermi-level density of states in states/eV/atom: 1.0141
Relative energy among the computed polymorphs in eV/f.u.: 0.153

Cell and atoms, written as CIF:
```
data_Zn3Ru2
_chemical_formula_sum 'Zn24 Ru16'
_cell_length_a 9.017
_cell_length_b 12.803
_cell_length_c 4.857
_cell_angle_alpha 90.00
_cell_angle_beta 90.00
_cell_angle_gamma 90.00
_symmetry_space_group_name_H-M 'F d d 2'
_symmetry_Int_Tables_number 43
_symmetry_space_group_name_Hall 'F 2 -2d'
loop_
_atom_site_label
_atom_site_fract_x
_atom_site_fract_y
_atom_site_fract_z
_atom_site_occupancy
Zn1 0.000 0.000 0.000 1
Zn2 0.046 0.398 0.041 1
Ru1 0.032 0.299 0.565 1
```

=====

A relaxed structure of Tb2Ce3TmSb6, computed with GGA-PBE.

Computed properties:
Calculated density in g cm⁻³: 7.32
Uncorrected formation energy in kJ/mol of atoms: -104.5
Fermi-level density of states in states/eV/atom: 1.6466

Cell and atoms, written as CIF:
```
data_Tb2Ce3TmSb6
_chemical_formula_sum 'Tb4 Ce6 Tm2 Sb12'
_cell_length_a 7.694
_cell_length_b 13.325
_cell_length_c 7.687
_cell_angle_alpha 90.00
_cell_angle_beta 109.49
_cell_angle_gamma 90.00
_symmetry_space_group_name_H-M 'C 1 2/m 1'
_symmetry_Int_Tables_number 12
loop_
_symmetry_equiv_pos_as_xyz
'x,y,z'
'-x,-y,-z'
'-x,y,-z'
'x,-y,z'
'x+1/2,y+1/2,z'
'-x+1/2,-y+1/2,-z'
'-x+1/2,y+1/2,-z'
'x+1/2,-y+1/2,z'
loop_
_atom_site_label
_atom_site_fract_x
_atom_site_fract_y
_atom_site_fract_z
_atom_site_occupancy
Tb1 0.000 0.166 0.000 1
Ce1 0.000 0.000 0.500 1
Ce2 0.000 0.332 0.500 1
Tm1 0.000 0.500 0.000 1
Sb1 0.246 0.335 0.243 1
Sb2 0.249 0.500 0.756 1
```

=====

A relaxed structure of Be2CdTe, computed with GGA-PBE.

Computed properties:
Calculated density in g cm⁻³: 5.45
Uncorrected formation energy in kJ/mol of atoms: 35.3
Fermi-level density of states in states/eV/atom: 0.2724
Relative energy among the computed polymorphs in eV/f.u.: 0.250

Cell and atoms, written as CIF:
```
data_Be2CdTe
_chemical_formula_sum 'Be2 Cd1 Te1'
_cell_length_a 3.804
_cell_length_b 3.825
_cell_length_c 5.405
_cell_angle_alpha 90.00
_cell_angle_beta 90.00
_cell_angle_gamma 90.00
_symmetry_space_group_name_H-M 'P m m 2'
_symmetry_Int_Tables_number 25
loop_
_symmetry_equiv_pos_as_xyz
'x,y,z'
'-x,-y,z'
'-x,y,z'
'x,-y,z'
loop_
_atom_site_label
_atom_site_fract_x
_atom_site_fract_y
_atom_site_fract_z
_atom_site_occupancy
Be1 0.000 0.000 0.000 1
Be2 0.000 0.500 0.208 1
Cd1 0.000 0.500 0.702 1
Te1 0.500 0.000 0.292 1
```

=====

A relaxed structure of CuAs5, computed with GGA-PBE.

Computed properties:
Calculated density in g cm⁻³: 6.41
Energy of formation from the pure elements in meV/atom: 378
Fermi-level density of states in states/eV/atom: 0.6598
Relative energy among the computed polymorphs in eV/f.u.: 0.853

Cell and atoms, written as CIF:
```
data_CuAs5
_chemical_formula_sum 'Cu1 As5'
_cell_length_a 2.755
_cell_length_b 2.755
_cell_length_c 14.948
_cell_angle_alpha 90.00
_cell_angle_beta 90.00
_cell_angle_gamma 90.00
_symmetry_space_group_name_H-M 'P 4/m m m'
_symmetry_Int_Tables_number 123
_symmetry_space_group_name_Hall '-P 4 2'
loop_
_atom_site_label
_atom_site_fract_x
_atom_site_fract_y
_atom_site_fract_z
_atom_site_occupancy
Cu1 0.000 0.000 0.000 1
As1 0.000 0.000 0.329 1
As2 0.500 0.500 0.128 1
As3 0.500 0.500 0.500 1
```

=====

Look up the calculated density of the third one.
2.17 g cm⁻³